A relaxed structure of Tl2BHPb. Source: Alexandria, functional PBE-GGA.

Results
magnetic moment	0.00	Bohr magnetons per cell
energy	-14.7	eV for the cell shown

Cell: 5.7313 5.7313 3.3762 Å, 90.00 90.00 90.00°
Space group P4/mmm (No. 123)
One atom of each set of equivalent atoms:
Tl 0.0000 0.5000 0.0000 [2 per cell]
B 0.0000 0.0000 0.0000 [1 per cell]
H 0.0000 0.0000 0.5000 [1 per cell]
Pb 0.5000 0.5000 0.5000 [1 per cell]

A relaxed structure of Ac4GaAg3. Source: Alexandria, functional PBE-GGA.

Results
magnetic moment	0.00	Bohr magnetons per cell
E_form	-30	kJ/mol of atoms
distance to the lowest polymorph of the same formula	0.000	eV/f.u.

Cell: 3.9405 3.9405 15.9018 Å, 90.00 90.00 90.00°
Space group P4/mmm (No. 123)
One atom of each set of equivalent atoms:
Ac 0.0000 0.0000 0.1212 [2 per cell]
Ac 0.0000 0.0000 0.3735 [2 per cell]
Ga 0.5000 0.5000 0.0000 [1 per cell]
Ag 0.5000 0.5000 0.2499 [2 per cell]
Ag 0.5000 0.5000 0.5000 [1 per cell]

A relaxed structure of PmCo2B2. Source: Alexandria, functional PBE-GGA.

Results
magnetic moment	0.00	Bohr magnetons per cell
E_form	-49	kJ/mol of atoms

Cell: 3.5732 3.5732 9.8400 Å, 90.00 90.00 90.00°
Space group I4/mmm (No. 139)
One atom of each set of equivalent atoms:
Pm 0.0000 0.0000 0.0000 [2 per cell]
Co 0.0000 0.5000 0.2500 [4 per cell]
B 0.0000 0.0000 0.3402 [4 per cell]

A relaxed structure of MnZn2. Source: Alexandria, functional PBE-GGA.

Results
magnetic moment	3.00	Bohr magnetons per cell
E_form	11	kJ/mol of atoms

Cell: 2.7272 2.7272 6.5949 Å, 90.00 90.00 120.00°
Space group P-3m1 (No. 164)
One atom of each set of equivalent atoms:
Mn 0.0000 0.0000 0.0000 [1 per cell]
Zn 0.3333 0.6667 0.6731 [2 per cell]